PrNdYEr: relaxed, PBE-GGA.

extended XYZ file:
```
4
Lattice="-4.0471 -2.3618 -2.0789 3.1061 -3.5736 -1.9869 -0.0595 0.1594 6.2552" Properties=species:S:1:pos:R:3 pbc="T T T"
Pr -2.2311 -2.2805 0.6138
Nd -0.9426 -5.4690 1.7278
Y -0.4724 -2.5029 3.7631
Er 1.3459 -2.8845 0.6570
```

Calculated values
E_form = 1.95 kJ per mole of atoms
Crystal system = tetragonal
Relative energy among the computed polymorphs = 0.000 kcal/mol of atoms

Ca3Bi2Au: relaxed, PBE-GGA.

extended XYZ file:
```
24
Lattice="4.7231 0.0000 0.0000 0.0000 12.3006 0.0000 0.0000 0.0000 12.7233" Properties=species:S:1:pos:R:3 pbc="T T T"
Bi 3.5423 3.8363 6.3630
Bi 1.1808 6.2657 10.3593
Bi 3.5423 2.3140 0.0014
Bi 3.5423 0.1154 8.7256
Bi 1.1808 8.4643 6.3603
Bi 1.1808 9.9866 12.7219
Bi 3.5423 6.0349 2.3640
Bi 1.1808 12.1851 3.9977
Au 1.1808 1.7191 1.7088
Au 3.5423 7.8694 4.6529
Au 3.5423 10.5814 11.0145
Au 1.1808 4.4312 8.0704
Ca 1.1808 5.5345 4.7623
Ca 1.1808 1.5522 6.9794
Ca 1.1808 4.5980 0.6177
Ca 1.1808 8.6630 2.9081
Ca 3.5423 11.6848 1.5993
Ca 1.1808 9.7878 9.2697
Ca 3.5423 2.5127 3.4536
Ca 3.5423 6.7661 7.9610
Ca 3.5423 10.7483 5.7439
Ca 3.5423 7.7025 12.1056
Ca 3.5423 3.6376 9.8152
Ca 1.1808 0.6158 11.1239
```

Calculated values
E_form = -73.28 kJ per mole of atoms
Crystal system = orthorhombic
Relative energy among the computed polymorphs = 0.000 kcal/mol of atoms

Co3Ni4Pt4: relaxed, PBE-GGA.

extended XYZ file:
```
11
Lattice="2.6532 -0.0031 -0.2253 -0.0371 3.6336 -0.4544 -0.0834 -0.0089 14.6627" Properties=species:S:1:pos:R:3 pbc="T T T"
Co 1.6411 2.3074 3.5672
Co 0.8915 1.3145 10.4158
Co 2.5697 -0.0119 14.4372
Ni 0.2259 0.3369 2.6753
Ni 1.8657 2.6406 6.2080
Ni 0.6669 0.9813 7.7753
Ni 2.3068 3.2849 11.3074
Pt 2.0877 2.9643 8.7666
Pt 0.4448 0.6575 5.2165
Pt 1.1100 1.6346 12.9605
Pt 1.4227 1.9872 1.0222
```

Calculated values
E_form = -8.35 kJ per mole of atoms
Crystal system = triclinic

Sr7Ca16Ac6: relaxed, PBE-GGA.

extended XYZ file:
```
29
Lattice="0.6451 9.7626 7.7121 1.7230 -1.8068 12.2052 10.8614 3.0616 5.2779" Properties=species:S:1:pos:R:3 pbc="T T T"
Ca 5.0477 4.2037 9.6132
Ca 2.2404 1.8658 4.2667
Ca 2.4485 5.0153 6.7548
Ca 7.4851 8.1639 19.2258
Ca 8.1818 6.8137 15.5820
Ca 7.3655 7.6698 9.7991
Ca 7.8762 2.1882 11.9280
Ca 5.8641 3.3476 15.3961
Ca 5.3534 8.8292 13.2672
Ca 5.7444 2.8535 5.9695
Ca 10.7810 6.0021 18.4405
Ca 2.7962 1.2829 8.2043
Ca 10.4333 9.7345 16.9909
Ca 3.0356 5.3631 13.0813
Ca 10.1939 5.6543 12.1139
Ca 10.9892 9.1516 20.9285
Ac 10.5027 2.7382 15.7794
Ac 3.4289 0.7442 12.3421
Ac 3.8490 7.1024 17.3648
Ac 9.8007 10.2731 12.8532
Ac 2.7269 8.2792 9.4158
Ac 9.3805 3.9150 7.8304
Sr 0.8615 -0.9034 6.1026
Sr 5.4307 1.5308 2.6390
Sr 5.7533 6.4121 6.4950
Sr 1.1841 3.9779 9.9587
Sr 6.2922 0.6274 8.7416
Sr 6.6148 5.5087 12.5976
Sr 0.3226 4.8813 3.8561
```

Calculated values
E_form = 19.12 kJ per mole of atoms
Crystal system = cubic

DyPaAsN2: relaxed, PBE-GGA.

extended XYZ file:
```
5
Lattice="3.8815 0.0000 0.0000 0.0000 3.8815 0.0000 -1.9408 -1.9408 6.2827" Properties=species:S:1:pos:R:3 pbc="T T T"
Pa 0.0000 0.0000 2.0811
Dy 1.9408 1.9408 4.2890
As 1.9408 1.9408 0.0499
N 0.0000 1.9408 3.0727
N 1.9408 0.0000 3.0727
```

Calculated values
Formation energy from raw total energies = -1417 meV per atom
Crystal system = tetragonal

BaLiIn2: relaxed, PBE-GGA.

extended XYZ file:
```
4
Lattice="-2.4721 -1.1203 -4.0167 2.3691 -1.0539 -4.0960 0.0758 -6.7964 -1.0683" Properties=species:S:1:pos:R:3 pbc="T T T"
In 0.0604 -5.9452 -1.2997
In 0.0019 -5.3364 -4.3592
Li -0.0204 -6.7279 -6.8858
Ba -0.0068 -2.2426 -2.2953
```

Calculated values
E_form = -34.87 kJ per mole of atoms
Crystal system = monoclinic